Record 1
## TbY3Mg6 (PBE)

Data for crystalline TbY3Mg6 at its relaxed geometry.

Unit cell a=5.283 b=9.272 c=11.275 alpha=105.78 beta=90.00 gamma=90.00
Each line ends with the local moment (μB).
Atoms (fractional coordinates):
Y  0.750  0.457  0.604  0.07
Mg  0.750  0.340  0.294  0.00
Mg  0.750  0.952  0.100  0.00
Y  0.750  0.649  0.205  0.04
Mg  0.750  0.144  0.699  0.00
Mg  0.250  0.856  0.301  0.00
Mg  0.750  0.854  0.805  0.00
Y  0.250  0.543  0.396  0.07
Mg  0.250  0.146  0.195  0.00
Mg  0.750  0.756  0.509  0.00
Mg  0.250  0.443  0.099  0.00
Tb  0.250  0.949  0.602  0.01
Y  0.750  0.248  0.997  0.01
Y  0.250  0.752  0.003  0.01
Mg  0.750  0.557  0.901  0.00
Mg  0.250  0.048  0.900  0.00
Mg  0.250  0.660  0.706  0.00
Tb  0.750  0.051  0.398  0.01
Y  0.250  0.351  0.795  0.04
Mg  0.250  0.244  0.491  0.00

Values from the calculation:
**Mass density**: 3.57 g cm⁻³
**Space-group type**: P2_1/m
**Energy of formation from the pure elements**: -0.085 eV/atom
**Energy**: -34.4 eV per formula unit


Record 2
## Cr2In2As (PBE)

Data for crystalline Cr2In2As at its relaxed geometry.

Unit cell a=6.408 b=6.408 c=4.405 alpha=90.00 beta=90.00 gamma=90.00
Each line ends with the local moment (μB).
Atoms (fractional coordinates):
As  0.500  0.500  0.000  -0.14
In  0.659  0.841  0.500  -0.10
In  0.159  0.659  0.500  -0.09
Cr  0.155  0.345  0.000  2.30
As  0.000  0.000  0.000  -0.14
In  0.841  0.341  0.500  -0.09
In  0.341  0.159  0.500  -0.10
Cr  0.845  0.655  0.000  2.30
Cr  0.345  0.845  0.000  2.29
Cr  0.655  0.155  0.000  2.29

Values from the calculation:
**Mass density**: 7.50 g cm⁻³
**Space-group type**: P4/mbm
**Energy of formation from the pure elements**: 0.203 eV/atom
**Energy**: -28.4 eV per formula unit


Record 3
## CsTl2Pb (PBE)

Data for crystalline CsTl2Pb at its relaxed geometry.

Unit cell a=5.304 b=7.203 c=9.074 alpha=113.05 beta=90.00 gamma=90.00
Atoms (fractional coordinates):
Tl  0.750  0.198  0.364
Tl  0.250  0.887  0.293
Cs  0.750  0.704  0.913
Pb  0.750  0.673  0.398
Tl  0.250  0.802  0.636
Tl  0.750  0.113  0.707
Pb  0.250  0.327  0.602
Cs  0.250  0.296  0.087

Values from the calculation:
**Energy above the most stable polymorph in this dataset**: 0 meV/atom
**Mass density**: 7.80 g cm⁻³
**Space-group type**: P2_1/m
**Energy of formation from the pure elements**: -0.107 eV/atom
**Energy**: -9.7 eV per formula unit


Record 4
## Np2BiPt (PBE)

Data for crystalline Np2BiPt at its relaxed geometry.

Unit cell a=3.587 b=3.587 c=7.653 alpha=90.00 beta=90.00 gamma=90.00
Each line ends with the local moment (μB).
Atoms (fractional coordinates):
Np  0.000  0.000  0.789  4.06
Bi  0.500  0.500  0.500  -0.08
Np  0.000  0.000  0.211  4.06
Pt  0.500  0.500  0.000  -0.10

Values from the calculation:
**Energy above the most stable polymorph in this dataset**: 0 meV/atom
**Mass density**: 14.81 g cm⁻³
**Space-group type**: P4/mmm
**Energy of formation from the pure elements**: -0.176 eV/atom
**Energy**: -36.5 eV per formula unit


Record 5
## Er6ScNi2 (PBE)

Data for crystalline Er6ScNi2 at its relaxed geometry.

Unit cell a=8.376 b=8.376 c=8.376 alpha=105.21 beta=111.23 gamma=112.06
Atoms (fractional coordinates):
Ni  0.684  0.684  0.000
Er  0.798  0.554  0.756
Er  0.099  0.815  0.284
Er  0.309  0.680  0.989
Er  0.691  0.320  0.011
Er  0.202  0.957  0.756
Ni  0.500  0.119  0.619
Er  0.309  0.320  0.629
Er  0.469  0.185  0.284
Er  0.691  0.680  0.371
Er  0.798  0.043  0.244
Ni  0.316  0.316  0.000
Er  0.531  0.815  0.716
Er  0.901  0.185  0.716
Er  0.202  0.446  0.244
Sc  0.000  0.500  0.500
Ni  0.500  0.881  0.381
Sc  0.000  0.000  0.000

Values from the calculation:
**Mass density**: 8.60 g cm⁻³
**Space-group type**: Immm
**Energy of formation from the pure elements**: -0.170 eV/atom
**Energy**: -46.8 eV per formula unit


Record 6
## LaTb5Nd6 (PBE)

Data for crystalline LaTb5Nd6 at its relaxed geometry.

Unit cell a=12.025 b=6.313 c=6.313 alpha=60.00 beta=84.97 gamma=79.90
Atoms (fractional coordinates):
Tb  0.500  0.833  0.334
Nd  0.748  0.418  0.666
La  0.000  0.000  0.000
Nd  0.252  0.916  0.666
Nd  0.252  0.250  0.000
Tb  0.500  0.167  0.666
Nd  0.748  0.084  0.334
Tb  0.000  0.667  0.667
Tb  0.500  0.500  0.000
Nd  0.252  0.582  0.334
Nd  0.748  0.750  0.000
Tb  0.000  0.333  0.333

Values from the calculation:
**Energy above the most stable polymorph in this dataset**: 0 meV/atom
**Mass density**: 7.31 g cm⁻³
**Space-group type**: C2/m
**Energy of formation from the pure elements**: 0.015 eV/atom
**Energy**: -56.5 eV per formula unit


Among the records above, which one has the highest energy of formation from the pure elements? Cr2In2As


The highest energy of formation from the pure elements belongs to which entry? Cr2In2As